Entry P
The following is a DFT calculation (PBE) of MnInH2 after structural relaxation.

Computed properties:
N(E_F) (states/eV per cell): 6.300
Magnetization (μB/f.u.): 3.4

Cell: 4.6779 4.6779 8.9869 Å, 90.00 90.00 90.00°
With the nearest neighbours (Å) after each atom.
Element x y z (fractional)
Mn: 0.0000 0.0000 0.0000  4 H 1.69
Mn: 0.0000 0.5000 0.2500  4 H 1.69
Mn: 0.5000 0.0000 0.7500  4 H 1.69
Mn: 0.5000 0.5000 0.5000  4 H 1.69
In: 0.0000 0.0000 0.5000  4 H 2.48
In: 0.0000 0.5000 0.7500  4 H 2.48
In: 0.5000 0.0000 0.2500  4 H 2.48
In: 0.5000 0.5000 0.0000  4 H 2.48
H: 0.0990 0.2500 0.1250  2 Mn 1.69
H: 0.2500 0.5990 0.3750  2 Mn 1.69
H: 0.2500 0.9010 0.8750  2 Mn 1.69
H: 0.4010 0.2500 0.6250  2 Mn 1.69
H: 0.5990 0.7500 0.6250  2 Mn 1.69
H: 0.7500 0.0990 0.8750  2 Mn 1.69
H: 0.7500 0.4010 0.3750  2 Mn 1.69
H: 0.9010 0.7500 0.1250  2 Mn 1.69



Entry Q
The following is a DFT calculation (PBE) of MnInH2 after structural relaxation.

Computed properties:
N(E_F) (states/eV per cell): 3.838
Magnetization (μB/f.u.): 2.9

Cell: 3.0032 3.0032 16.6692 Å, 90.00 90.00 120.00°
With the nearest neighbours (Å) after each atom.
Element x y z (fractional)
Mn: 0.0000 0.0000 0.0000  6 H 1.81
Mn: 0.3333 0.6667 0.6667  6 H 1.81
Mn: 0.6667 0.3333 0.3333  6 H 1.81
In: 0.0000 0.0000 0.5000  6 H 2.83, 6 In 3.00
In: 0.3333 0.6667 0.1667  6 H 2.83, 6 In 3.00
In: 0.6667 0.3333 0.8333  6 H 2.83, 6 In 3.00
H: 0.0000 0.0000 0.3012  3 Mn 1.81
H: 0.0000 0.0000 0.6988  3 Mn 1.81
H: 0.3333 0.6667 0.3655  3 Mn 1.81
H: 0.3333 0.6667 0.9678  3 Mn 1.81
H: 0.6667 0.3333 0.0322  3 Mn 1.81
H: 0.6667 0.3333 0.6345  3 Mn 1.81



Entry R
The following is a DFT calculation (PBE) of MnInH2 after structural relaxation.

Computed properties:
N(E_F) (states/eV per cell): 6.697
Magnetization (μB/f.u.): 4.0

Cell: 5.6895 5.6895 5.6895 Å, 90.00 90.00 90.00°
With the nearest neighbours (Å) after each atom.
Element x y z (fractional)
Mn: 0.0000 0.0000 0.0000  8 H 2.46
Mn: 0.0000 0.5000 0.5000  8 H 2.46
Mn: 0.5000 0.0000 0.5000  8 H 2.46
Mn: 0.5000 0.5000 0.0000  8 H 2.46
In: 0.0000 0.0000 0.5000  8 H 2.46
In: 0.0000 0.5000 0.0000  8 H 2.46
In: 0.5000 0.0000 0.0000  8 H 2.46
In: 0.5000 0.5000 0.5000  8 H 2.46
H: 0.2500 0.2500 0.2500  4 In 2.46, 4 Mn 2.46
H: 0.2500 0.2500 0.7500  4 In 2.46, 4 Mn 2.46
H: 0.2500 0.7500 0.2500  4 In 2.46, 4 Mn 2.46
H: 0.2500 0.7500 0.7500  4 In 2.46, 4 Mn 2.46
H: 0.7500 0.2500 0.2500  4 In 2.46, 4 Mn 2.46
H: 0.7500 0.2500 0.7500  4 In 2.46, 4 Mn 2.46
H: 0.7500 0.7500 0.2500  4 In 2.46, 4 Mn 2.46
H: 0.7500 0.7500 0.7500  4 Mn 2.46, 4 In 2.46



If we sort the structures by their calculated energies, the order from most to least stable is entry Q, entry P, entry R.



Entry P
The following is a DFT calculation (PBE) of Mn2InH after structural relaxation.

Computed properties:
N(E_F) (states/eV per cell): 12.452
Magnetization (μB/f.u.): 5.8

Cell: 5.3541 5.3541 7.5587 Å, 90.00 90.00 90.00°
With the nearest neighbours (Å) after each atom.
Element x y z (fractional)
Mn: 0.0000 0.0000 0.0000  2 H 1.64
Mn: 0.0000 0.5000 0.0000  2 H 1.64
Mn: 0.2500 0.2500 0.7500  2 H 1.64
Mn: 0.2500 0.7500 0.2500  2 H 1.64
Mn: 0.5000 0.0000 0.5000  2 H 1.64
Mn: 0.5000 0.5000 0.5000  2 H 1.64
Mn: 0.7500 0.2500 0.7500  2 H 1.64
Mn: 0.7500 0.7500 0.2500  2 H 1.64
In: 0.0000 0.2500 0.3750  12 Mn 3.13-3.14, 4 H 3.28, 4 In 3.28
In: 0.0000 0.7500 0.6250  12 Mn 3.13-3.14, 4 H 3.28, 4 In 3.28
In: 0.5000 0.2500 0.1250  12 Mn 3.13-3.14, 4 In 3.28, 4 H 3.28
In: 0.5000 0.7500 0.8750  12 Mn 3.13-3.14, 4 In 3.28, 4 H 3.28
H: 0.0000 0.2500 0.8750  4 Mn 1.64
H: 0.0000 0.7500 0.1250  4 Mn 1.64
H: 0.5000 0.2500 0.6250  4 Mn 1.64
H: 0.5000 0.7500 0.3750  4 Mn 1.64



Entry Q
The following is a DFT calculation (PBE) of Mn2InH after structural relaxation.

Computed properties:
N(E_F) (states/eV per cell): 11.936
Magnetization (μB/f.u.): 7.2

Cell: 6.2434 6.2434 6.2434 Å, 90.00 90.00 90.00°
With the nearest neighbours (Å) after each atom.
Element x y z (fractional)
Mn: 0.2500 0.2500 0.2500  4 H 2.70, 4 In 2.70
Mn: 0.2500 0.2500 0.7500  4 H 2.70, 4 In 2.70
Mn: 0.2500 0.7500 0.2500  4 H 2.70, 4 In 2.70
Mn: 0.2500 0.7500 0.7500  4 H 2.70, 4 In 2.70
Mn: 0.7500 0.2500 0.2500  4 H 2.70, 4 In 2.70
Mn: 0.7500 0.2500 0.7500  4 H 2.70, 4 In 2.70
Mn: 0.7500 0.7500 0.2500  4 H 2.70, 4 In 2.70
Mn: 0.7500 0.7500 0.7500  4 H 2.70, 4 In 2.70
In: 0.0000 0.0000 0.0000  8 Mn 2.70
In: 0.0000 0.5000 0.5000  8 Mn 2.70
In: 0.5000 0.0000 0.5000  8 Mn 2.70
In: 0.5000 0.5000 0.0000  8 Mn 2.70
H: 0.0000 0.0000 0.5000  8 Mn 2.70
H: 0.0000 0.5000 0.0000  8 Mn 2.70
H: 0.5000 0.0000 0.0000  8 Mn 2.70
H: 0.5000 0.5000 0.5000  8 Mn 2.70



Entry R
The following is a DFT calculation (PBE) of Mn2InH after structural relaxation.

Computed properties:
N(E_F) (states/eV per cell): 7.743
Magnetization (μB/f.u.): 3.4

Cell: 2.9502 2.9502 18.8260 Å, 90.00 90.00 120.00°
With the nearest neighbours (Å) after each atom.
Element x y z (fractional)
Mn: 0.0000 0.0000 0.2125  3 H 1.91
Mn: 0.0000 0.0000 0.7875  3 H 1.91
Mn: 0.3333 0.6667 0.4542  3 H 1.91
Mn: 0.3333 0.6667 0.8791  3 H 1.91
Mn: 0.6667 0.3333 0.1209  3 H 1.91
Mn: 0.6667 0.3333 0.5458  3 H 1.91
In: 0.0000 0.0000 0.0000  6 Mn 2.84, 6 In 2.95
In: 0.3333 0.6667 0.6667  6 Mn 2.84, 6 In 2.95
In: 0.6667 0.3333 0.3333  6 Mn 2.84, 6 In 2.95
H: 0.0000 0.0000 0.5000  6 Mn 1.91
H: 0.3333 0.6667 0.1667  6 Mn 1.91
H: 0.6667 0.3333 0.8333  6 Mn 1.91



If we sort the structures by their calculated energies, the order from most to least stable is entry P, entry R, entry Q.



Entry P
The following is a DFT calculation (PBE) of InMoH2 after structural relaxation.

Computed properties:
N(E_F) (states/eV per cell): 9.176
Magnetization (μB/f.u.): 0.0

Cell: 3.1361 3.1361 16.0894 Å, 90.00 90.00 120.00°
With the nearest neighbours (Å) after each atom.
Element x y z (fractional)
In: 0.0000 0.0000 0.0000  6 H 2.69-2.83, 1 Mo 2.91
In: 0.3333 0.6667 0.6667  6 H 2.69-2.83, 1 Mo 2.91
In: 0.6667 0.3333 0.3333  6 H 2.69-2.83, 1 Mo 2.91
Mo: 0.0000 0.0000 0.1811  6 H 1.87-1.96
Mo: 0.3333 0.6667 0.8477  6 H 1.87-1.96
Mo: 0.6667 0.3333 0.5144  6 H 1.87-1.96
H: 0.0000 0.0000 0.5426  3 Mo 1.87
H: 0.0000 0.0000 0.8017  3 Mo 1.96, 3 H 2.17
H: 0.3333 0.6667 0.2093  3 Mo 1.87
H: 0.3333 0.6667 0.4684  3 Mo 1.96, 3 H 2.17
H: 0.6667 0.3333 0.1351  3 Mo 1.96, 3 H 2.17
H: 0.6667 0.3333 0.8760  3 Mo 1.87



Entry Q
The following is a DFT calculation (PBE) of InMoH2 after structural relaxation.

Computed properties:
N(E_F) (states/eV per cell): 9.255
Magnetization (μB/f.u.): 1.1

Cell: 5.6424 5.6424 5.6424 Å, 90.00 90.00 90.00°
With the nearest neighbours (Å) after each atom.
Element x y z (fractional)
In: 0.0000 0.0000 0.0000  8 H 2.44
In: 0.0000 0.5000 0.5000  8 H 2.44
In: 0.5000 0.0000 0.5000  8 H 2.44
In: 0.5000 0.5000 0.0000  8 H 2.44
Mo: 0.0000 0.0000 0.5000  8 H 2.44
Mo: 0.0000 0.5000 0.0000  8 H 2.44
Mo: 0.5000 0.0000 0.0000  8 H 2.44
Mo: 0.5000 0.5000 0.5000  8 H 2.44
H: 0.2500 0.2500 0.2500  4 In 2.44, 4 Mo 2.44
H: 0.2500 0.2500 0.7500  4 In 2.44, 4 Mo 2.44
H: 0.2500 0.7500 0.2500  4 In 2.44, 4 Mo 2.44
H: 0.2500 0.7500 0.7500  4 Mo 2.44, 4 In 2.44
H: 0.7500 0.2500 0.2500  4 In 2.44, 4 Mo 2.44
H: 0.7500 0.2500 0.7500  4 Mo 2.44, 4 In 2.44
H: 0.7500 0.7500 0.2500  4 Mo 2.44, 4 In 2.44
H: 0.7500 0.7500 0.7500  4 In 2.44, 4 Mo 2.44



If we sort the structures by their calculated energies, the order from most to least stable is entry P, entry Q.



Entry P
The following is a DFT calculation (PBE) of InMo3H after structural relaxation.

Computed properties:
N(E_F) (states/eV per cell): 10.824
Magnetization (μB/f.u.): 0.0

Cell: 4.9475 4.9475 4.9475 Å, 90.00 90.00 90.00°
With the nearest neighbours (Å) after each atom.
Element x y z (fractional)
In: 0.0000 0.0000 0.0000  6 Mo 2.47
Mo: 0.0000 0.0000 0.5000  2 In 2.47
Mo: 0.0000 0.5000 0.0000  2 In 2.47
Mo: 0.5000 0.0000 0.0000  2 In 2.47
H: 0.5000 0.5000 0.5000  12 Mo 3.50



Entry Q
The following is a DFT calculation (PBE) of InMo3H after structural relaxation.

Computed properties:
N(E_F) (states/eV per cell): 4.026
Magnetization (μB/f.u.): 0.0

Cell: 4.1110 4.1110 4.1110 Å, 90.00 90.00 90.00°
With the nearest neighbours (Å) after each atom.
Element x y z (fractional)
In: 0.0000 0.0000 0.0000  12 Mo 2.91
Mo: 0.0000 0.5000 0.5000  2 H 2.06
Mo: 0.5000 0.0000 0.5000  2 H 2.06
Mo: 0.5000 0.5000 0.0000  2 H 2.06
H: 0.5000 0.5000 0.5000  6 Mo 2.06



If we sort the structures by their calculated energies, the order from most to least stable is entry Q, entry P.



Entry P
The following is a DFT calculation (PBE) of InMo2H after structural relaxation.

Computed properties:
N(E_F) (states/eV per cell): 19.169
Magnetization (μB/f.u.): 1.2

Cell: 6.2500 6.2500 6.2500 Å, 90.00 90.00 90.00°
With the nearest neighbours (Å) after each atom.
Element x y z (fractional)
In: 0.0000 0.0000 0.0000  8 Mo 2.71
In: 0.0000 0.5000 0.5000  8 Mo 2.71
In: 0.5000 0.0000 0.5000  8 Mo 2.71
In: 0.5000 0.5000 0.0000  8 Mo 2.71
Mo: 0.2500 0.2500 0.2500  4 H 2.71, 4 In 2.71
Mo: 0.2500 0.2500 0.7500  4 H 2.71, 4 In 2.71
Mo: 0.2500 0.7500 0.2500  4 H 2.71, 4 In 2.71
Mo: 0.2500 0.7500 0.7500  4 H 2.71, 4 In 2.71
Mo: 0.7500 0.2500 0.2500  4 H 2.71, 4 In 2.71
Mo: 0.7500 0.2500 0.7500  4 H 2.71, 4 In 2.71
Mo: 0.7500 0.7500 0.2500  4 H 2.71, 4 In 2.71
Mo: 0.7500 0.7500 0.7500  4 H 2.71, 4 In 2.71
H: 0.0000 0.0000 0.5000  8 Mo 2.71
H: 0.0000 0.5000 0.0000  8 Mo 2.71
H: 0.5000 0.0000 0.0000  8 Mo 2.71
H: 0.5000 0.5000 0.5000  8 Mo 2.71



Entry Q
The following is a DFT calculation (PBE) of InMo2H after structural relaxation.

Computed properties:
N(E_F) (states/eV per cell): 17.655
Magnetization (μB/f.u.): 0.0

Cell: 5.1805 5.1805 9.3672 Å, 90.00 90.00 90.00°
With the nearest neighbours (Å) after each atom.
Element x y z (fractional)
In: 0.0000 0.2500 0.3750  8 Mo 3.12, 4 H 3.49, 4 In 3.49
In: 0.0000 0.7500 0.6250  8 Mo 3.12, 4 H 3.49, 4 In 3.49
In: 0.5000 0.2500 0.1250  8 Mo 3.12, 4 In 3.49, 4 H 3.49
In: 0.5000 0.7500 0.8750  8 Mo 3.12, 4 In 3.49, 4 H 3.49
Mo: 0.0000 0.0000 0.0000  2 H 1.75
Mo: 0.0000 0.5000 0.0000  2 H 1.75
Mo: 0.2500 0.2500 0.7500  2 H 1.75
Mo: 0.2500 0.7500 0.2500  2 H 1.75
Mo: 0.5000 0.0000 0.5000  2 H 1.75
Mo: 0.5000 0.5000 0.5000  2 H 1.75
Mo: 0.7500 0.2500 0.7500  2 H 1.75
Mo: 0.7500 0.7500 0.2500  2 H 1.75
H: 0.0000 0.2500 0.8750  4 Mo 1.75
H: 0.0000 0.7500 0.1250  4 Mo 1.75
H: 0.5000 0.2500 0.6250  4 Mo 1.75
H: 0.5000 0.7500 0.3750  4 Mo 1.75



If we sort the structures by their calculated energies, the order from most to least stable is entry Q, entry P.